Entry 1:
The following is a DFT calculation (PBE) of crystalline Sm4DyHo2Mg at its relaxed geometry.

## Properties
calculated formation energy: 0.011 eV per atom
total magnetic moment: 0.00 μB per cell

a = 5.0261 Å, b = 5.0261 Å, c = 9.9549 Å
α = 90.00°, β = 90.00°, γ = 90.00°
Space group P4/mmm (No. 123)
Symmetry-distinct sites (fractional):
Sm 0.0000 0.5000 0.2463 (multiplicity 4)
Dy 0.0000 0.0000 0.5000 (multiplicity 1)
Ho 0.0000 0.0000 0.0000 (multiplicity 1)
Ho 0.5000 0.5000 0.5000 (multiplicity 1)
Mg 0.5000 0.5000 0.0000 (multiplicity 1)

Entry 2:
The following is a DFT calculation (PBE) of crystalline Dy2Ga9Au at its relaxed geometry.

## Properties
calculated formation energy: -0.351 eV per atom
total magnetic moment: 0.00 μB per cell

a = 4.2962 Å, b = 4.2962 Å, c = 12.4280 Å
α = 90.00°, β = 90.00°, γ = 90.00°
Space group P4/mmm (No. 123)
Symmetry-distinct sites (fractional):
Dy 0.0000 0.0000 0.1729 (multiplicity 2)
Ga 0.0000 0.5000 0.0000 (multiplicity 2)
Ga 0.0000 0.5000 0.3496 (multiplicity 4)
Ga 0.5000 0.5000 0.1611 (multiplicity 2)
Ga 0.5000 0.5000 0.5000 (multiplicity 1)
Au 0.0000 0.0000 0.5000 (multiplicity 1)

Entry 3:
The following is a DFT calculation (PBE) of crystalline NdSm2Pb2 at its relaxed geometry.

## Properties
calculated formation energy: -0.155 eV per atom
ΔE to the lowest computed polymorph: 83 kJ/mol of formula units
total magnetic moment: 0.00 μB per cell

a = 5.2517 Å, b = 5.2517 Å, c = 13.2219 Å
α = 90.00°, β = 90.00°, γ = 120.00°
Space group P6_3/mmc (No. 194)
Symmetry-distinct sites (fractional):
Nd 0.0000 0.0000 0.2500 (multiplicity 2)
Sm 0.0000 0.0000 0.0000 (multiplicity 2)
Sm 0.3333 0.6667 0.2500 (multiplicity 2)
Pb 0.3333 0.6667 0.6214 (multiplicity 4)

Entry 4:
The following is a DFT calculation (PBE) of crystalline YTaIn2 at its relaxed geometry.

## Properties
calculated formation energy: 0.445 eV per atom
total magnetic moment: 7.12 μB per cell

a = 7.2268 Å, b = 7.2268 Å, c = 7.2268 Å
α = 90.00°, β = 90.00°, γ = 90.00°
Space group F-43m (No. 216)
Symmetry-distinct sites (fractional):
Y 0.0000 0.0000 0.0000 (multiplicity 4)
Ta 0.2500 0.2500 0.7500 (multiplicity 4)
In 0.0000 0.0000 0.5000 (multiplicity 4)
In 0.2500 0.2500 0.2500 (multiplicity 4)

Entry 5:
The following is a DFT calculation (PBE) of crystalline YZn2Rh at its relaxed geometry.

## Properties
calculated formation energy: -0.469 eV per atom
total magnetic moment: 0.00 μB per cell

a = 4.3634 Å, b = 4.3634 Å, c = 13.9987 Å
α = 90.00°, β = 90.00°, γ = 120.00°
Space group R3m (No. 160, hexagonal axes)
Symmetry-distinct sites (fractional):
Y 0.0000 0.0000 0.0000 (multiplicity 3)
Zn 0.0000 0.0000 0.5236 (multiplicity 3)
Zn 0.0000 0.0000 0.7934 (multiplicity 3)
Rh 0.0000 0.0000 0.2057 (multiplicity 3)

Entry 6:
The following is a DFT calculation (PBE) of crystalline Sm8Co3SBr4 at its relaxed geometry.

## Properties
total magnetic moment: 0.00 μB per cell

a = 8.0504 Å, b = 8.0504 Å, c = 22.7434 Å
α = 90.00°, β = 90.00°, γ = 120.00°
Space group R-3m (No. 166, hexagonal axes)
Symmetry-distinct sites (fractional):
Sm 0.0000 0.0000 0.2302 (multiplicity 6)
Sm 0.0164 0.5082 0.7690 (multiplicity 18)
Co 0.0000 0.5000 0.5000 (multiplicity 9)
S 0.0000 0.0000 0.5000 (multiplicity 3)
Br 0.0000 0.0000 0.0000 (multiplicity 3)
Br 0.0000 0.5000 0.0000 (multiplicity 9)

Entry 7:
The following is a DFT calculation (PBE) of crystalline Be2AsPb at its relaxed geometry.

## Properties
calculated formation energy: 0.249 eV per atom
ΔE to the lowest computed polymorph: 14 kJ/mol of formula units
total magnetic moment: 0.00 μB per cell

a = 3.6911 Å, b = 3.6911 Å, c = 18.6156 Å
α = 90.00°, β = 90.00°, γ = 120.00°
Space group R3m (No. 160, hexagonal axes)
Symmetry-distinct sites (fractional):
Be 0.0000 0.0000 0.0000 (multiplicity 3)
Be 0.0000 0.0000 0.3143 (multiplicity 3)
As 0.0000 0.0000 0.5911 (multiplicity 3)
Pb 0.0000 0.0000 0.7685 (multiplicity 3)

Entry 8:
The following is a DFT calculation (PBE) of crystalline TlTcP2 at its relaxed geometry.

## Properties
calculated formation energy: 0.331 eV per atom
ΔE to the lowest computed polymorph: 159 kJ/mol of formula units
total magnetic moment: 0.00 μB per cell

a = 3.0496 Å, b = 3.0496 Å, c = 26.4878 Å
α = 90.00°, β = 90.00°, γ = 120.00°
Space group R3m (No. 160, hexagonal axes)
Symmetry-distinct sites (fractional):
Tl 0.0000 0.0000 0.0000 (multiplicity 3)
Tc 0.0000 0.0000 0.7624 (multiplicity 3)
P 0.0000 0.0000 0.2194 (multiplicity 3)
P 0.0000 0.0000 0.4907 (multiplicity 3)

Entry 9:
The following is a DFT calculation (PBE) of crystalline Tb2Ga4NiAu3 at its relaxed geometry.

## Properties
calculated formation energy: -0.585 eV per atom
total magnetic moment: 0.00 μB per cell

a = 4.1925 Å, b = 4.1925 Å, c = 11.0005 Å
α = 90.00°, β = 90.00°, γ = 90.00°
Space group P-4m2 (No. 115)
Symmetry-distinct sites (fractional):
Tb 0.0000 0.5000 0.2384 (multiplicity 2)
Ga 0.0000 0.0000 0.5000 (multiplicity 1)
Ga 0.0000 0.5000 0.8748 (multiplicity 2)
Ga 0.5000 0.5000 0.5000 (multiplicity 1)
Ni 0.5000 0.5000 0.0000 (multiplicity 1)
Au 0.0000 0.0000 0.0000 (multiplicity 1)
Au 0.0000 0.5000 0.6465 (multiplicity 2)

Entry 10:
The following is a DFT calculation (PBE) of crystalline Ac3Si4Pd7 at its relaxed geometry.

## Properties
total magnetic moment: 0.00 μB per cell

a = 16.5445 Å, b = 4.2113 Å, c = 10.0951 Å
α = 90.00°, β = 127.42°, γ = 90.00°
Space group C2/m (No. 12)
Symmetry-distinct sites (fractional):
Ac 0.0000 0.0000 0.0000 (multiplicity 2)
Ac 0.1758 0.5000 0.6771 (multiplicity 4)
Si 0.1083 0.0000 0.3902 (multiplicity 4)
Si 0.1634 0.5000 0.0390 (multiplicity 4)
Pd 0.0000 0.0000 0.5000 (multiplicity 2)
Pd 0.0060 0.5000 0.7431 (multiplicity 4)
Pd 0.1726 0.0000 0.9225 (multiplicity 4)
Pd 0.1962 0.5000 0.3648 (multiplicity 4)

Entry 11:
The following is a DFT calculation (PBE) of crystalline LaInAg2 at its relaxed geometry.

## Properties
calculated formation energy: -0.201 eV per atom
total magnetic moment: 0.00 μB per cell

a = 3.5244 Å, b = 4.9001 Å, c = 5.9426 Å
α = 90.00°, β = 90.11°, γ = 90.00°
Space group P2/m (No. 10)
Symmetry-distinct sites (fractional):
La 0.0000 0.0000 0.0000 (multiplicity 1)
In 0.5000 0.0000 0.5000 (multiplicity 1)
Ag 0.4982 0.5000 0.7548 (multiplicity 2)

Entry 12:
The following is a DFT calculation (PBE) of crystalline BaAc3Pr2Te6 at its relaxed geometry.

## Properties
total magnetic moment: 0.00 μB per cell

a = 20.4730 Å, b = 4.6869 Å, c = 9.4512 Å
α = 90.00°, β = 103.31°, γ = 90.00°
Space group C2/m (No. 12)
Symmetry-distinct sites (fractional):
Ba 0.0000 0.0000 0.0000 (multiplicity 2)
Ac 0.0000 0.0000 0.5000 (multiplicity 2)
Ac 0.1637 0.5000 0.8272 (multiplicity 4)
Pr 0.1710 0.5000 0.3431 (multiplicity 4)
Te 0.0061 0.5000 0.2588 (multiplicity 4)
Te 0.1675 0.0000 0.5774 (multiplicity 4)
Te 0.1706 0.0000 0.0929 (multiplicity 4)

Number 1: total DFT energy (no corrections) -4.27 eV/atom, DOS(E_F) 1.348 states/eV/atom. Number 2: total DFT energy (no corrections) -3.66 eV/atom, DOS(E_F) 0.332 states/eV/atom. Number 3: total DFT energy (no corrections) -4.48 eV/atom, DOS(E_F) 0.970 states/eV/atom. Number 4: total DFT energy (no corrections) -5.50 eV/atom, DOS(E_F) 1.048 states/eV/atom. Number 5: total DFT energy (no corrections) -4.56 eV/atom, DOS(E_F) 0.465 states/eV/atom. Number 6: total DFT energy (no corrections) -5.31 eV/atom, DOS(E_F) 0.548 states/eV/atom. Number 7: total DFT energy (no corrections) -3.70 eV/atom, DOS(E_F) 0.266 states/eV/atom. Number 8: total DFT energy (no corrections) -5.56 eV/atom, DOS(E_F) 0.490 states/eV/atom. Number 9: total DFT energy (no corrections) -4.28 eV/atom, DOS(E_F) 0.472 states/eV/atom. Number 10: total DFT energy (no corrections) -5.81 eV/atom, DOS(E_F) 0.580 states/eV/atom. Number 11: total DFT energy (no corrections) -3.54 eV/atom, DOS(E_F) 0.675 states/eV/atom. Number 12: total DFT energy (no corrections) -5.06 eV/atom, DOS(E_F) 0.507 states/eV/atom.